First-principles (GGA-PBEsol) data for crystalline TiTeH2Pb at its relaxed geometry, as listed in Alexandria.

```
TiTeH2Pb
1.0
-0.939 -0.303 3.814
2.036 -3.365 0.234
5.462 3.416 1.615
Ti Te Pb H
1 1 1 2
Cartesian
3.279 -0.126 2.832
0.000 0.000 0.000
2.731 1.708 0.808
1.018 -1.683 0.117
-0.469 -0.151 1.907
```

Summary:
E_tot, eV per cell: -19.3
Calculated volume, Å³/atom: 20.6